1.
A plane-wave DFT calculation with PBE was carried out for a relaxed ZnFe2AgCl crystal.

Summary:
energy relative to the elements, uncorrected	989	meV/atom

The structure in CIF format:
```
data_ZnFe2AgCl
_cell_length_a 4.6428
_cell_length_b 4.6428
_cell_length_c 4.9324
_cell_angle_alpha 90.00
_cell_angle_beta 90.00
_cell_angle_gamma 90.00
_space_group_name_H-M_alt 'P 4/m m m'
_space_group_IT_number 123
_space_group_name_Hall '-P 4 2'
loop_
_atom_site_label
_atom_site_fract_x
_atom_site_fract_y
_atom_site_fract_z
_atom_site_occupancy
Zn1 0.0000 0.0000 0.0000 1
Fe1 0.0000 0.5000 0.0000 1
Ag1 0.0000 0.0000 0.5000 1
Cl1 0.5000 0.5000 0.5000 1
```

***

2.
A plane-wave DFT calculation with PBE was carried out for a relaxed CdFe2SnPb crystal.

Summary:
ΔE_f	1.427	eV per atom

The structure in CIF format:
```
data_CdFe2SnPb
_cell_length_a 4.7901
_cell_length_b 4.7901
_cell_length_c 5.7259
_cell_angle_alpha 90.00
_cell_angle_beta 90.00
_cell_angle_gamma 90.00
_space_group_name_H-M_alt 'P 4/m m m'
_space_group_IT_number 123
_space_group_name_Hall '-P 4 2'
loop_
_atom_site_label
_atom_site_fract_x
_atom_site_fract_y
_atom_site_fract_z
_atom_site_occupancy
Cd1 0.0000 0.0000 0.0000 1
Fe1 0.0000 0.5000 0.5000 1
Sn1 0.5000 0.5000 0.5000 1
Pb1 0.5000 0.5000 0.0000 1
```

***

3.
A plane-wave DFT calculation with PBE was carried out for a relaxed PPdBr2 crystal.

Summary:
energy relative to the elements, uncorrected	504	meV/atom

The structure in CIF format:
```
data_PPdBr2
_cell_length_a 4.9612
_cell_length_b 4.9612
_cell_length_c 15.7840
_cell_angle_alpha 90.00
_cell_angle_beta 90.00
_cell_angle_gamma 90.00
_space_group_name_H-M_alt 'I -4 2 d'
_space_group_IT_number 122
_space_group_name_Hall 'I -4 2bw'
loop_
_atom_site_label
_atom_site_fract_x
_atom_site_fract_y
_atom_site_fract_z
_atom_site_occupancy
P1 0.0000 0.0000 0.0000 1
Pd1 0.0000 0.0000 0.5000 1
Br1 0.2442 0.2500 0.1250 1
```

***

4.
A plane-wave DFT calculation with PBE was carried out for a relaxed VSbC crystal.

Summary:
energy relative to the elements, uncorrected	395	meV/atom

The structure in CIF format:
```
data_VSbC
_cell_length_a 12.4750
_cell_length_b 3.2380
_cell_length_c 5.2304
_cell_angle_alpha 90.00
_cell_angle_beta 107.65
_cell_angle_gamma 90.00
_space_group_name_H-M_alt 'C 1 2/m 1'
_space_group_IT_number 12
_space_group_name_Hall '-C 2y'
loop_
_atom_site_label
_atom_site_fract_x
_atom_site_fract_y
_atom_site_fract_z
_atom_site_occupancy
V1 0.1615 0.0000 0.3879 1
Sb1 0.0834 0.0000 0.8293 1
C1 0.1780 0.5000 0.6020 1
```

***

5.
A plane-wave DFT calculation with PBE was carried out for a relaxed RbPaSnS4 crystal.

Summary:
energy relative to the elements, uncorrected	-1202	meV/atom

The structure in CIF format:
```
data_RbPaSnS4
_cell_length_a 8.4139
_cell_length_b 9.0130
_cell_length_c 11.8586
_cell_angle_alpha 90.00
_cell_angle_beta 90.00
_cell_angle_gamma 90.00
_space_group_name_H-M_alt 'I m m a'
_space_group_IT_number 74
_space_group_name_Hall '-I 2b 2'
loop_
_atom_site_label
_atom_site_fract_x
_atom_site_fract_y
_atom_site_fract_z
_atom_site_occupancy
Rb1 0.0000 0.2500 0.1366 1
Pa1 0.2500 0.2500 0.7500 1
Sn1 0.0000 0.0000 0.5000 1
S1 0.0000 0.0602 0.7439 1
S2 0.2191 0.2500 0.5331 1
```

***

6.
A plane-wave DFT calculation with PBE was carried out for a relaxed Tl4HgBr5 crystal.

Summary:
energy relative to the elements, uncorrected	-700	meV/atom

The structure in CIF format:
```
data_Tl4HgBr5
_cell_length_a 10.5892
_cell_length_b 10.5892
_cell_length_c 6.5712
_cell_angle_alpha 90.00
_cell_angle_beta 90.00
_cell_angle_gamma 90.00
_space_group_name_H-M_alt 'I 4'
_space_group_IT_number 79
_space_group_name_Hall 'I 4'
loop_
_atom_site_label
_atom_site_fract_x
_atom_site_fract_y
_atom_site_fract_z
_atom_site_occupancy
Tl1 0.0967 0.6986 0.0000 1
Hg1 0.0000 0.0000 0.5011 1
Br1 0.0000 0.0000 0.0013 1
Br2 0.1010 0.7083 0.5000 1
```

***

7.
A plane-wave DFT calculation with PBE was carried out for a relaxed KTlSn crystal.

Summary:
ΔE_f	-0.125	eV per atom

The structure in CIF format:
```
data_KTlSn
_cell_length_a 5.2360
_cell_length_b 5.2360
_cell_length_c 8.2866
_cell_angle_alpha 90.00
_cell_angle_beta 90.00
_cell_angle_gamma 120.00
_space_group_name_H-M_alt 'P 63 m c'
_space_group_IT_number 186
_space_group_name_Hall 'P 6c -2c'
loop_
_atom_site_label
_atom_site_fract_x
_atom_site_fract_y
_atom_site_fract_z
_atom_site_occupancy
K1 0.0000 0.0000 0.0000 1
Tl1 0.3333 0.6667 0.3048 1
Sn1 0.3333 0.6667 0.7037 1
```

***

8.
A plane-wave DFT calculation with PBE was carried out for a relaxed BeMo4Os crystal.

Summary:
ΔE_f	0.567	eV per atom

The structure in CIF format:
```
data_BeMo4Os
_cell_length_a 7.2385
_cell_length_b 7.2385
_cell_length_c 7.2385
_cell_angle_alpha 90.00
_cell_angle_beta 90.00
_cell_angle_gamma 90.00
_space_group_name_H-M_alt 'F -4 3 m'
_space_group_IT_number 216
_space_group_name_Hall 'F -4 2 3'
loop_
_atom_site_label
_atom_site_fract_x
_atom_site_fract_y
_atom_site_fract_z
_atom_site_occupancy
Be1 0.0000 0.0000 0.0000 1
Mo1 0.1261 0.1261 0.6261 1
Os1 0.2500 0.2500 0.2500 1
```

***

Quick rundown of spin magnetization, same order as above: 6.07; 0.39; 0.00; 0.00; 0.00; 0.00; 0.00; 0.00 μB/cell